Record 1
## Nd2SnSb (PBE)

Data for crystalline Nd2SnSb at its relaxed geometry.

## Properties
E above lowest polymorph   240 meV/atom
Raw formation energy   -740.3 meV/atom
Crystal system   tetragonal

abc: 3.813 3.813 8.159
angles: 90.00 90.00 90.00
Space group P4/mmm (No. 123)
Symmetry-distinct sites (fractional):
Nd: 0.000 0.000 0.235 (multiplicity 2)
Sn: 0.500 0.500 0.500 (multiplicity 1)
Sb: 0.500 0.500 0.000 (multiplicity 1)

---

Record 2
## SnOsSeBr2 (PBE)

Data for crystalline SnOsSeBr2 at its relaxed geometry.

## Properties
E above lowest polymorph   0 meV/atom
Raw formation energy   388.7 meV/atom
Crystal system   tetragonal

abc: 5.191 5.191 4.772
angles: 90.00 90.00 90.00
Space group P4/mmm (No. 123)
Symmetry-distinct sites (fractional):
Sn: 0.000 0.000 0.000 (multiplicity 1)
Os: 0.500 0.500 0.500 (multiplicity 1)
Se: 0.500 0.500 0.000 (multiplicity 1)
Br: 0.000 0.500 0.500 (multiplicity 2)

---

Record 3
## Ce2Ga5Ir (PBE)

Data for crystalline Ce2Ga5Ir at its relaxed geometry.

## Properties
ΔH_f (0 K)   -3.8 eV/f.u.
Crystal system   tetragonal

abc: 6.157 6.157 8.920
angles: 90.00 90.00 90.00
Space group I4mm (No. 107)
Symmetry-distinct sites (fractional):
Ce: 0.000 0.500 0.000 (multiplicity 4)
Ga: 0.000 0.000 0.023 (multiplicity 2)
Ga: 0.214 0.214 0.246 (multiplicity 8)
Ir: 0.000 0.000 0.748 (multiplicity 2)

---

Record 4
## Mn2GaTe4 (PBE)

Data for crystalline Mn2GaTe4 at its relaxed geometry.

## Properties
E above lowest polymorph   0 meV/atom
Raw formation energy   -202.7 meV/atom
Crystal system   orthorhombic

abc: 11.622 11.636 11.664
angles: 90.00 90.00 90.00
Space group Fddd (No. 70, origin choice 2)
Symmetry-distinct sites (fractional):
Mn: 0.000 0.000 0.000 (multiplicity 16)
Ga: 0.125 0.125 0.625 (multiplicity 8)
Te: 0.010 0.010 0.240 (multiplicity 32)

---

Record 5
## CeZnSnO (PBE)

Data for crystalline CeZnSnO at its relaxed geometry.

## Properties
Raw formation energy   -1557.5 meV/atom
Crystal system   tetragonal

abc: 4.084 4.084 9.761
angles: 90.00 90.00 90.00
Space group P4/nmm (No. 129, origin choice 2)
Symmetry-distinct sites (fractional):
Ce: 0.250 0.250 0.120 (multiplicity 2)
Zn: 0.250 0.750 0.500 (multiplicity 2)
Sn: 0.250 0.250 0.689 (multiplicity 2)
O: 0.250 0.750 0.000 (multiplicity 2)

---

Record 6
## CdGe2Pd (PBE)

Data for crystalline CdGe2Pd at its relaxed geometry.

## Properties
ΔH_f (0 K)   -0.3 eV/f.u.
Crystal system   trigonal

abc: 4.3582 4.3582 14.5452
angles: 90.00 90.00 120.00
Space group R3m (No. 160, hexagonal axes)
Symmetry-distinct sites (fractional):
Cd: 0.0000 0.0000 0.0000 (multiplicity 3)
Ge: 0.0000 0.0000 0.5695 (multiplicity 3)
Ge: 0.0000 0.0000 0.7839 (multiplicity 3)
Pd: 0.0000 0.0000 0.1899 (multiplicity 3)

---

Record 7
## K2BaPuF6 (PBE)

Data for crystalline K2BaPuF6 at its relaxed geometry.

## Properties
Raw formation energy   -3127.0 meV/atom
Crystal system   monoclinic

abc: 6.678 6.841 11.510
angles: 90.00 124.55 90.00
Space group P2_1/c (No. 14)
Symmetry-distinct sites (fractional):
K: 0.224 0.037 0.229 (multiplicity 4)
Ba: 0.000 0.000 0.500 (multiplicity 2)
Pu: 0.500 0.000 0.000 (multiplicity 2)
F: 0.157 0.171 0.967 (multiplicity 4)
F: 0.216 0.725 0.913 (multiplicity 4)
F: 0.376 0.073 0.763 (multiplicity 4)

---

Record 8
## Pm5Sb4Se (PBE)

Data for crystalline Pm5Sb4Se at its relaxed geometry.

## Properties
E above lowest polymorph   14 meV/atom
Raw formation energy   -1316.9 meV/atom
Crystal system   tetragonal

abc: 4.445 4.445 31.361
angles: 90.00 90.00 90.00
Space group I4/mmm (No. 139)
Symmetry-distinct sites (fractional):
Pm: 0.000 0.000 0.000 (multiplicity 2)
Pm: 0.000 0.000 0.200 (multiplicity 4)
Pm: 0.000 0.000 0.402 (multiplicity 4)
Sb: 0.000 0.000 0.099 (multiplicity 4)
Sb: 0.000 0.000 0.301 (multiplicity 4)
Se: 0.000 0.000 0.500 (multiplicity 2)

---

Record 9
## Sm3Tm4Ag (PBE)

Data for crystalline Sm3Tm4Ag at its relaxed geometry.

## Properties
ΔH_f (0 K)   -0.5 eV/f.u.
Crystal system   tetragonal

abc: 3.549 3.549 18.900
angles: 90.00 90.00 90.00
Space group P4/mmm (No. 123)
Symmetry-distinct sites (fractional):
Sm: 0.000 0.000 0.000 (multiplicity 1)
Sm: 0.000 0.000 0.267 (multiplicity 2)
Tm: 0.500 0.500 0.134 (multiplicity 2)
Tm: 0.500 0.500 0.402 (multiplicity 2)
Ag: 0.000 0.000 0.500 (multiplicity 1)

---

Record 10
## CsGaTe3 (PBE)

Data for crystalline CsGaTe3 at its relaxed geometry.

## Properties
E above lowest polymorph   382 meV/atom
Raw formation energy   -215.6 meV/atom
Crystal system   cubic

abc: 5.644 5.644 5.644
angles: 90.00 90.00 90.00
Space group Pm-3m (No. 221)
Symmetry-distinct sites (fractional):
Cs: 0.000 0.000 0.000 (multiplicity 1)
Ga: 0.500 0.500 0.500 (multiplicity 1)
Te: 0.000 0.500 0.500 (multiplicity 3)

---

Record 11
## AlCo2CuH (PBE)

Data for crystalline AlCo2CuH at its relaxed geometry.

## Properties
E above lowest polymorph   0 meV/atom
Crystal system   tetragonal

abc: 3.663 3.663 3.588
angles: 90.00 90.00 90.00
Space group P4/mmm (No. 123)
Symmetry-distinct sites (fractional):
Al: 0.000 0.000 0.000 (multiplicity 1)
Co: 0.000 0.500 0.500 (multiplicity 2)
Cu: 0.500 0.500 0.000 (multiplicity 1)
H: 0.500 0.500 0.500 (multiplicity 1)

---

Record 12
## Rb2AgTeCl6 (PBE)

Data for crystalline Rb2AgTeCl6 at its relaxed geometry.

## Properties
Raw formation energy   -1053.8 meV/atom
Crystal system   tetragonal

abc: 7.588 7.588 10.844
angles: 90.00 90.00 90.00
Space group I4/mmm (No. 139)
Symmetry-distinct sites (fractional):
Rb: 0.000 0.500 0.250 (multiplicity 4)
Ag: 0.000 0.000 0.000 (multiplicity 2)
Te: 0.000 0.000 0.500 (multiplicity 2)
Cl: 0.000 0.000 0.261 (multiplicity 4)
Cl: 0.244 0.244 0.000 (multiplicity 8)